<one>
Material: VZnAu3
Method: DFT, GGA-PBE
State: optimized geometry

Calculated values
The space group is Pm-3m (221). The calculation puts the magnetization at 2.301 μB/f.u. The value obtained for the calculated volume is 122 Å³ per cell.

abc: 4.9639 4.9639 4.9639
angles: 90.00 90.00 90.00
Positions (direct):
V 0.0000 0.0000 0.0000
Zn 0.5000 0.5000 0.5000
Au 0.0000 0.0000 0.5000
Au 0.0000 0.5000 0.0000
Au 0.5000 0.0000 0.0000


<two>
Material: VZnAu3
Method: DFT, GGA-PBE
State: optimized geometry

Calculated values
The space group is Pm-3m (221). The calculation puts the magnetization at 3.501 μB/f.u. The value obtained for the calculated volume is 109 Å³ per cell.

abc: 4.7706 4.7706 4.7706
angles: 90.00 90.00 90.00
Positions (direct):
V 0.0000 0.0000 0.0000
Zn 0.5000 0.5000 0.5000
Au 0.0000 0.5000 0.5000
Au 0.5000 0.0000 0.5000
Au 0.5000 0.5000 0.0000


What should be chosen as the least stable of them? Choose <one>.


<one>
Material: VZn2Au8
Method: DFT, GGA-PBE
State: optimized geometry

Calculated values
The space group is C2/m (12). The calculation puts the magnetization at 2.665 μB/f.u. The value obtained for the calculated volume is 199 Å³ per cell.

abc: 9.7317 9.7317 7.4743
angles: 112.54 112.54 17.72
Positions (direct):
V 0.0000 0.0000 0.0000
Zn 0.3724 0.3724 0.3726
Zn 0.6276 0.6276 0.6274
Au 0.1365 0.1365 0.3305
Au 0.1365 0.1365 0.9428
Au 0.2498 0.2498 0.7501
Au 0.5000 0.5000 0.3073
Au 0.5000 0.5000 0.6927
Au 0.7502 0.7502 0.2499
Au 0.8635 0.8635 0.0572
Au 0.8635 0.8635 0.6695


<two>
Material: VZn2Au8
Method: DFT, GGA-PBE
State: optimized geometry

Calculated values
The space group is C2/m (12). The calculation puts the magnetization at 2.459 μB/f.u. The value obtained for the calculated volume is 198 Å³ per cell.

abc: 7.2390 7.2390 4.5966
angles: 102.40 102.40 115.93
Positions (direct):
V 0.0000 0.0000 0.0000
Zn 0.3145 0.6855 0.5000
Zn 0.6855 0.3145 0.5000
Au 0.0826 0.3189 0.6055
Au 0.2210 0.7790 0.0000
Au 0.3189 0.0826 0.6055
Au 0.3822 0.3822 0.1746
Au 0.6178 0.6178 0.8254
Au 0.6811 0.9174 0.3945
Au 0.7790 0.2210 0.0000
Au 0.9174 0.6811 0.3945


What should be chosen as the least stable of them? Choose <one>.


<one>
Material: ZrVAu
Method: DFT, GGA-PBE
State: optimized geometry

Calculated values
The space group is Fddd (70). The calculation puts the magnetization at 0.000 μB/f.u. The value obtained for the calculated volume is 218 Å³ per cell.

abc: 10.3479 9.7262 5.1444
angles: 81.97 68.54 29.49
Positions (direct):
Zr 0.0528 0.6972 0.0528
Zr 0.3028 0.9472 0.3028
Zr 0.6972 0.0528 0.6972
Zr 0.9472 0.3028 0.9472
V 0.0007 0.0007 0.7493
V 0.2507 0.2507 0.9993
V 0.7493 0.7493 0.0007
V 0.9993 0.9993 0.2507
Au 0.2987 0.2987 0.4513
Au 0.4513 0.4513 0.2987
Au 0.5487 0.5487 0.7013
Au 0.7013 0.7013 0.5487


<two>
Material: ZrVAu
Method: DFT, GGA-PBE
State: optimized geometry

Calculated values
The space group is C2/m (12). The calculation puts the magnetization at 0.000 μB/f.u. The value obtained for the calculated volume is 107 Å³ per cell.

abc: 5.2338 5.2338 5.8953
angles: 113.99 113.99 47.81
Positions (direct):
Zr 0.0000 0.0000 0.0000
Zr 0.0000 0.0000 0.5000
V 0.3078 0.3078 0.6219
V 0.6922 0.6922 0.3781
Au 0.3394 0.3394 0.1562
Au 0.6606 0.6606 0.8438


<three>
Material: ZrVAu
Method: DFT, GGA-PBE
State: optimized geometry

Calculated values
The space group is Cm (8). The calculation puts the magnetization at 0.308 μB/f.u. The value obtained for the calculated volume is 108 Å³ per cell.

abc: 5.1198 5.1198 5.8674
angles: 109.63 109.63 49.33
Positions (direct):
Zr 0.0000 0.0000 0.0000
Zr 0.6993 0.6993 0.3826
V 0.0186 0.0186 0.5331
V 0.3338 0.3338 0.6872
Au 0.3556 0.3556 0.1970
Au 0.6675 0.6675 0.8545


<four>
Material: ZrVAu
Method: DFT, GGA-PBE
State: optimized geometry

Calculated values
The space group is Cm (8). The calculation puts the magnetization at 0.000 μB/f.u. The value obtained for the calculated volume is 110 Å³ per cell.

abc: 4.8936 4.8936 5.6433
angles: 104.54 104.54 57.84
Positions (direct):
Zr 0.0000 0.0000 0.0000
Zr 0.7353 0.7353 0.3650
V 0.0593 0.0593 0.5345
V 0.3047 0.3047 0.7362
Au 0.3939 0.3939 0.2746
Au 0.6405 0.6405 0.8176


What should be chosen as the least stable of them? Choose <one>.


<one>
Material: ZrVAu
Method: DFT, GGA-PBE
State: optimized geometry

Calculated values
The space group is Imm2 (44). The calculation puts the magnetization at 0.000 μB/f.u. The value obtained for the calculated volume is 112 Å³ per cell.

abc: 5.5155 5.5155 5.5155
angles: 132.62 106.31 92.41
Positions (direct):
Zr 0.0000 0.0000 0.0000
Zr 0.6001 0.1001 0.5000
V 0.2117 0.3794 0.8323
V 0.5471 0.3794 0.1677
Au 0.4235 0.7066 0.7169
Au 0.9897 0.7066 0.2831


<two>
Material: ZrVAu
Method: DFT, GGA-PBE
State: optimized geometry

Calculated values
The space group is Ima2 (46). The calculation puts the magnetization at 0.000 μB/f.u. The value obtained for the calculated volume is 111 Å³ per cell.

abc: 5.5638 5.5638 5.5638
angles: 135.89 93.16 103.11
Positions (direct):
Zr 0.1838 0.2500 0.4338
Zr 0.8162 0.7500 0.5662
V 0.6229 0.9252 0.1977
V 0.7275 0.4252 0.8023
Au 0.1722 0.5425 0.1297
Au 0.4129 0.0425 0.8703


What should be chosen as the least stable of them? Choose <one>.


<one>
Material: ZrV2Au
Method: DFT, GGA-PBE
State: optimized geometry

Calculated values
The space group is I-42d (122). The calculation puts the magnetization at 1.507 μB/f.u. The value obtained for the calculated volume is 146 Å³ per cell.

abc: 10.1302 10.1302 10.1302
angles: 157.95 157.95 31.39
Positions (direct):
Zr 0.0000 0.0000 0.0000
Zr 0.7500 0.2500 0.5000
V 0.1193 0.6250 0.9943
V 0.3750 0.3693 0.4943
V 0.6307 0.1250 0.0057
V 0.8750 0.8807 0.5057
Au 0.2500 0.7500 0.5000
Au 0.5000 0.5000 0.0000


<two>
Material: ZrV2Au
Method: DFT, GGA-PBE
State: optimized geometry

Calculated values
The space group is Fm-3m (225). The calculation puts the magnetization at 0.001 μB/f.u. The value obtained for the calculated volume is 66 Å³ per cell.

abc: 4.5296 4.5296 4.5296
angles: 60.00 60.00 60.00
Positions (direct):
Zr 0.0000 0.0000 0.0000
V 0.2500 0.2500 0.2500
V 0.7500 0.7500 0.7500
Au 0.5000 0.5000 0.5000


What should be chosen as the least stable of them? Choose <one>.


<one>
Material: ZrVAu2
Method: DFT, GGA-PBE
State: optimized geometry

Calculated values
The space group is Fm-3m (225). The calculation puts the magnetization at 3.316 μB/f.u. The value obtained for the calculated volume is 75 Å³ per cell.

abc: 4.7299 4.7299 4.7299
angles: 60.00 60.00 60.00
Positions (direct):
Zr 0.0000 0.0000 0.0000
V 0.5000 0.5000 0.5000
Au 0.2500 0.2500 0.2500
Au 0.7500 0.7500 0.7500


<two>
Material: ZrVAu2
Method: DFT, GGA-PBE
State: optimized geometry

Calculated values
The space group is I-42d (122). The calculation puts the magnetization at 1.004 μB/f.u. The value obtained for the calculated volume is 154 Å³ per cell.

abc: 5.9808 5.9808 5.9808
angles: 101.88 101.88 126.04
Positions (direct):
Zr 0.0000 0.0000 0.0000
Zr 0.7500 0.2500 0.5000
V 0.2500 0.7500 0.5000
V 0.5000 0.5000 0.0000
Au 0.1587 0.6250 0.0337
Au 0.3750 0.4087 0.5337
Au 0.5913 0.1250 0.9663
Au 0.8750 0.8413 0.4663


What should be chosen as the least stable of them? Choose <two>.